# 1
# NaTe2I6

A geometry-optimized NaTe2I6 structure (PBE-GGA, Alexandria via LeMat-Bulk).

- VASP energy (eV/atom) = -2.16
- theoretical density (g/cm3) = 4.2
- formation energy without anion corrections (eV per atom) = -0.279

Unit cell a=19.7132 b=9.6430 c=9.2075 alpha=90.00 beta=110.53 gamma=90.00
With the nearest neighbours (Å) after each atom.
Space group C2/c (No. 15)
Unique sites:
Na (0.0000, 0.0526, 0.2500) x4  6 I 3.29-3.39
Te (0.2475, 0.2003, 0.7439) x8  4 I 2.88-3.08
I (0.0823, 0.1812, 0.6100) x8  1 Te 3.06, 2 Na 3.29-3.37
I (0.0968, 0.2908, 0.1334) x8  1 Te 2.88
I (0.2495, 0.0012, 0.9858) x8  2 Te 2.93-3.08

# 2
# NaTeI

A geometry-optimized NaTeI structure (PBE-GGA, Alexandria via LeMat-Bulk).

- VASP energy (eV/atom) = -2.69
- E above lowest polymorph (eV/atom) = 0.000
- theoretical density (g/cm3) = 4.2
- formation energy without anion corrections (eV per atom) = -0.687

Unit cell a=11.0453 b=4.3025 c=9.2904 alpha=90.00 beta=90.00 gamma=90.00
With the nearest neighbours (Å) after each atom.
Space group Pnma (No. 62)
Unique sites:
Na (0.1180, 0.2500, 0.1841) x4  4 I 3.18-3.37, 2 Te 3.51
Te (0.0882, 0.7500, 0.4811) x4  2 Te 2.92
I (0.1640, 0.7500, 0.9381) x4  4 Na 3.18-3.37, 2 Te 3.50

# 3
# Na3TeI

A geometry-optimized Na3TeI structure (PBE-GGA, Alexandria via LeMat-Bulk).

- VASP energy (eV/atom) = -2.75
- E above lowest polymorph (eV/atom) = 0.000
- theoretical density (g/cm3) = 3.0
- formation energy without anion corrections (eV per atom) = -1.017

Unit cell a=9.6595 b=7.6584 c=9.8946 alpha=90.00 beta=104.95 gamma=90.00
With the nearest neighbours (Å) after each atom.
Space group P2_1/c (No. 14)
Unique sites:
Na (0.0645, 0.0556, 0.2666) x4  1 Te 3.14, 4 I 3.27-3.43
Na (0.3641, 0.0048, 0.0836) x4  3 Te 3.10-3.24, 1 I 3.15, 1 Na 3.45
Na (0.3672, 0.0085, 0.5981) x4  3 Te 3.08-3.15, 1 I 3.18
Te (0.3642, 0.2408, 0.3405) x4  7 Na 3.08-3.24
I (0.0999, 0.7495, 0.0247) x4  6 Na 3.15-3.43